[1]
CeZr2Ta PBE optimized geometry; energy above the most stable polymorph in this dataset = 0 kJ/mol of formula units; SG = P4/mmm (123); energy relative to the elements = 0.151 eV per atom; mass density = 9.06 g/cm³
1.0
3.4519 0.0000 0.0000
0.0000 3.4519 0.0000
0.0000 0.0000 7.7442
Ce Zr Ta
1 2 1
Direct
0.0000 0.0000 0.0000
0.5000 0.5000 0.2856
0.5000 0.5000 0.7144
0.0000 0.0000 0.5000

=====

[2]
CeZrTa PBE optimized geometry; SG = I4/mmm (139); energy relative to the elements = 0.640 eV per atom; mass density = 9.26 g/cm³
1.0
3.7561 0.0000 0.0000
0.0000 3.7561 0.0000
0.0000 0.0000 20.9711
Ce Zr Ta
4 4 4
Direct
0.0000 0.0000 0.2076
0.0000 0.0000 0.7924
0.5000 0.5000 0.2924
0.5000 0.5000 0.7076
0.0000 0.0000 0.3882
0.0000 0.0000 0.6118
0.5000 0.5000 0.1118
0.5000 0.5000 0.8882
0.0000 0.0000 0.0626
0.0000 0.0000 0.9374
0.5000 0.5000 0.4374
0.5000 0.5000 0.5626

=====

[3]
CeZr2Ta PBE optimized geometry; energy above the most stable polymorph in this dataset = 27 kJ/mol of formula units; SG = R-3m (166); energy relative to the elements = 0.222 eV per atom; mass density = 9.16 g/cm³
1.0
3.1002 0.0000 0.0000
-1.5501 2.6848 0.0000
0.0000 0.0000 32.9148
Ce Zr Ta
3 6 3
Direct
0.0000 0.0000 0.0000
0.3333 0.6667 0.6667
0.6667 0.3333 0.3333
0.0000 0.0000 0.0922
0.0000 0.0000 0.9078
0.3333 0.6667 0.5745
0.3333 0.6667 0.7588
0.6667 0.3333 0.2412
0.6667 0.3333 0.4255
0.0000 0.0000 0.5000
0.3333 0.6667 0.1667
0.6667 0.3333 0.8333

=====

[4]
TbCe6 PBE optimized geometry; SG = Im-3m (229); energy relative to the elements = 0.656 eV per atom; mass density = 7.56 g/cm³
1.0
7.6007 0.0000 0.0000
0.0000 7.6007 0.0000
0.0000 0.0000 7.6007
Tb Ce
2 12
Direct
0.0000 0.0000 0.0000
0.5000 0.5000 0.5000
0.0000 0.2500 0.5000
0.0000 0.5000 0.2500
0.0000 0.5000 0.7500
0.0000 0.7500 0.5000
0.2500 0.0000 0.5000
0.2500 0.5000 0.0000
0.5000 0.0000 0.2500
0.5000 0.0000 0.7500
0.5000 0.2500 0.0000
0.5000 0.7500 0.0000
0.7500 0.0000 0.5000
0.7500 0.5000 0.0000

=====

What did the fourth record say?
TbCe6 PBE optimized geometry; SG = Im-3m (229); energy relative to the elements = 0.656 eV per atom; mass density = 7.56 g/cm³
1.0
7.6007 0.0000 0.0000
0.0000 7.6007 0.0000
0.0000 0.0000 7.6007
Tb Ce
2 12
Direct
0.0000 0.0000 0.0000
0.5000 0.5000 0.5000
0.0000 0.2500 0.5000
0.0000 0.5000 0.2500
0.0000 0.5000 0.7500
0.0000 0.7500 0.5000
0.2500 0.0000 0.5000
0.2500 0.5000 0.0000
0.5000 0.0000 0.2500
0.5000 0.0000 0.7500
0.5000 0.2500 0.0000
0.5000 0.7500 0.0000
0.7500 0.0000 0.5000
0.7500 0.5000 0.0000